(1)
Computed, not measured: a relaxed PuBeFe crystal at the PBE level of DFT.

* total moment: 1.38 μB per cell
* DFT formation energy: 0.317 eV/atom
* energy relative to the lowest polymorph listed for this composition: 211 meV per atom

a = 7.680 Å, b = 7.680 Å, c = 7.680 Å
α = 155.86°, β = 155.86°, γ = 34.39°
Atoms (fractional coordinates):
Pu (0.209, 0.209, 0.000)
Pu (0.791, 0.791, 0.000)
Be (0.000, 0.500, 0.500)
Be (0.500, 0.000, 0.500)
Fe (0.401, 0.401, 0.000)
Fe (0.599, 0.599, 0.000)



(2)
Computed, not measured: a relaxed Pm2ErTm2Sc2 crystal at the PBE level of DFT.

* total moment: 0.00 μB per cell
* DFT formation energy: 0.170 eV/atom

a = 5.794 Å, b = 5.794 Å, c = 11.552 Å
α = 101.09°, β = 101.09°, γ = 34.29°
Atoms (fractional coordinates):
Pm (0.094, 0.094, 0.269)
Pm (0.906, 0.906, 0.731)
Er (0.500, 0.500, 0.000)
Tm (0.153, 0.153, 0.575)
Tm (0.847, 0.847, 0.425)
Sc (0.206, 0.206, 0.877)
Sc (0.794, 0.794, 0.123)



(3)
Computed, not measured: a relaxed Ta2PtPb crystal at the PBE level of DFT.

* total moment: 0.00 μB per cell
* DFT formation energy: 0.026 eV/atom

a = 3.120 Å, b = 3.475 Å, c = 7.744 Å
α = 90.00°, β = 101.51°, γ = 90.00°
Atoms (fractional coordinates):
Ta (0.000, 0.000, 0.000)
Ta (0.388, 0.500, 0.776)
Pt (0.798, 0.000, 0.594)
Pb (0.636, 0.500, 0.280)



(4)
Computed, not measured: a relaxed Sm9YEr2 crystal at the PBE level of DFT.

* total moment: 0.00 μB per cell
* DFT formation energy: 0.018 eV/atom

a = 5.096 Å, b = 5.096 Å, c = 15.288 Å
α = 90.00°, β = 90.00°, γ = 90.00°
Atoms (fractional coordinates):
Sm (0.000, 0.000, 0.000)
Sm (0.000, 0.000, 0.334)
Sm (0.000, 0.000, 0.666)
Sm (0.000, 0.500, 0.168)
Sm (0.000, 0.500, 0.500)
Sm (0.000, 0.500, 0.832)
Sm (0.500, 0.000, 0.168)
Sm (0.500, 0.000, 0.500)
Sm (0.500, 0.000, 0.832)
Y (0.500, 0.500, 0.000)
Er (0.500, 0.500, 0.334)
Er (0.500, 0.500, 0.666)